No. 1
# NaH6CN2ClO2

NaH6CN2ClO2 at its PBEsol-relaxed geometry (SCAN, Alexandria).

a = 4.9902 Å, b = 6.5186 Å, c = 17.3731 Å
α = 90.00°, β = 90.00°, γ = 90.00°
Last column: nearest neighbours and their distance in Å.
Fractional positions:
Na 0.6924 0.4863 0.0000  4 O 2.33-2.43
Na 0.1924 0.5137 0.5000  4 O 2.33-2.43
Na 0.6995 0.0151 0.0000  4 O 2.32-2.41
Na 0.1995 0.9849 0.5000  4 O 2.32-2.41
H 0.2587 0.7555 0.0447  1 O 0.99
H 0.2587 0.7555 0.9553  1 O 0.99
H 0.7587 0.2445 0.4553  1 O 0.99
H 0.7587 0.2445 0.5447  1 O 0.99
H 0.1793 0.2546 0.0437  1 O 1.00
H 0.1793 0.2546 0.9563  1 O 1.00
H 0.6793 0.7454 0.4563  1 O 1.00
H 0.6793 0.7454 0.5437  1 O 1.00
H 0.2347 0.9856 0.3214  1 N 1.03
H 0.2347 0.9856 0.6786  1 N 1.03
H 0.7347 0.0144 0.1786  1 N 1.03
H 0.7347 0.0144 0.8214  1 N 1.03
H 0.1253 0.8611 0.2358  1 N 1.02
H 0.1253 0.8611 0.7642  1 N 1.02
H 0.6253 0.1389 0.2642  1 N 1.02
H 0.6253 0.1389 0.7358  1 N 1.02
H 0.7029 0.5102 0.3321  1 N 1.03
H 0.7029 0.5102 0.6679  1 N 1.03
H 0.2029 0.4898 0.1679  1 N 1.03
H 0.2029 0.4898 0.8321  1 N 1.03
H 0.7963 0.6172 0.2423  1 N 1.02
H 0.7963 0.6172 0.7577  1 N 1.02
H 0.2963 0.3828 0.2577  1 N 1.02
H 0.2963 0.3828 0.7423  1 N 1.02
C 0.9774 0.7448 0.3378  1 O 1.27, 2 N 1.34-1.35
C 0.9774 0.7448 0.6622  1 O 1.27, 2 N 1.34-1.35
C 0.4774 0.2552 0.1622  1 O 1.27, 2 N 1.34-1.35
C 0.4774 0.2552 0.8378  1 O 1.27, 2 N 1.34-1.35
N 0.1279 0.8716 0.2946  2 H 1.02-1.03
N 0.1279 0.8716 0.7054  2 H 1.02-1.03
N 0.6279 0.1284 0.2054  2 H 1.02-1.03
N 0.6279 0.1284 0.7946  2 H 1.02-1.03
N 0.8207 0.6086 0.3008  2 H 1.02-1.03
N 0.8207 0.6086 0.6992  2 H 1.02-1.03
N 0.3207 0.3914 0.1992  2 H 1.02-1.03
N 0.3207 0.3914 0.8008  2 H 1.02-1.03
Cl 0.9292 0.7433 0.1198  3 H 2.10-2.30
Cl 0.9292 0.7433 0.8802  3 H 2.10-2.30
Cl 0.4292 0.2567 0.3802  3 H 2.10-2.30
Cl 0.4292 0.2567 0.6198  3 H 2.10-2.30
O 0.3833 0.7543 0.0000  2 H 0.99
O 0.8833 0.2457 0.5000  2 H 0.99
O 0.0484 0.2535 0.0000  2 H 1.00
O 0.5484 0.7465 0.5000  2 H 1.00
O 0.9847 0.7529 0.4109  1 C 1.27
O 0.9847 0.7529 0.5891  1 C 1.27
O 0.4847 0.2471 0.0891  1 C 1.27
O 0.4847 0.2471 0.9109  1 C 1.27

Calculated values
SG: No. 31
Size of the total moment (Bohr magnetons per cell): 0.0
Electronic total energy (eV/atom): -6.607
Fermi-level density of states (states/eV/f.u.): 0.00



No. 2
# Fe2MoIr

Fe2MoIr at its PBEsol-relaxed geometry (SCAN, Alexandria).

a = 2.6468 Å, b = 2.6468 Å, c = 8.6552 Å
α = 81.20°, β = 81.20°, γ = 60.00°
Last column: nearest neighbours and their distance in Å.
Fractional positions:
Fe 0.2485 0.2485 0.2545  3 Ir 2.59, 6 Fe 2.65, 3 Mo 2.65
Fe 0.7515 0.7515 0.7455  3 Ir 2.59, 6 Fe 2.65, 3 Mo 2.65
Ir 0.5000 0.5000 0.5000  6 Fe 2.59, 6 Ir 2.65
Mo 0.0000 0.0000 0.0000  6 Mo 2.65, 6 Fe 2.65

Calculated values
Energy of formation from the pure elements (kJ/mol of atoms): 12.4
SG: No. 166
Size of the total moment (Bohr magnetons per cell): 5.5
Fermi-level density of states (states/eV/f.u.): 4.20



No. 3
# TaCuBr2

TaCuBr2 at its PBEsol-relaxed geometry (SCAN, Alexandria).

a = 3.1181 Å, b = 4.7521 Å, c = 4.7521 Å
α = 98.44°, β = 90.00°, γ = 90.00°
Last column: nearest neighbours and their distance in Å.
Fractional positions:
Br 0.0000 0.5000 0.0000  4 Ta 2.84, 4 Cu 2.84, 4 Br 3.10-3.12
Br 0.0000 0.0000 0.5000  4 Cu 2.84, 4 Ta 2.84, 4 Br 3.10-3.12
Cu 0.5000 0.0000 0.0000  8 Br 2.84, 2 Ta 3.10, 2 Cu 3.12
Ta 0.5000 0.5000 0.5000  8 Br 2.84, 2 Cu 3.10, 2 Ta 3.12

Calculated values
Energy relative to the elements, uncorrected (eV per atom): 0.7967
SG: No. 65
E above lowest polymorph (meV per atom): 46
Size of the total moment (Bohr magnetons per cell): 0.0
Fermi-level density of states (states/eV/f.u.): 2.89



No. 4
# CrRe2As

CrRe2As at its PBEsol-relaxed geometry (SCAN, Alexandria).

a = 2.8903 Å, b = 2.8903 Å, c = 6.5013 Å
α = 90.00°, β = 90.00°, γ = 90.00°
Last column: nearest neighbours and their distance in Å.
Fractional positions:
As 0.0000 0.0000 0.5242  4 Cr 2.44, 4 Re 2.69
Cr 0.5000 0.5000 0.7299  4 As 2.44, 4 Re 2.65
Re 0.0000 0.0000 0.9902  4 Cr 2.65, 8 Re 2.68-2.89
Re 0.5000 0.5000 0.2557  8 Re 2.68-2.89, 4 As 2.69

Calculated values
Energy of formation from the pure elements (kJ/mol of atoms): 12.9
SG: No. 99
Size of the total moment (Bohr magnetons per cell): 0.0
Fermi-level density of states (states/eV/f.u.): 2.34



No. 5
# ErInPt4

ErInPt4 at its PBEsol-relaxed geometry (SCAN, Alexandria).

a = 5.3107 Å, b = 5.3107 Å, c = 5.3107 Å
α = 60.00°, β = 60.00°, γ = 60.00°
Last column: nearest neighbours and their distance in Å.
Fractional positions:
In 0.7500 0.7500 0.7500  12 Pt 3.11, 4 Er 3.25
Pt 0.8741 0.3753 0.3753  6 Pt 2.65-2.66
Pt 0.3753 0.3753 0.3753  6 Pt 2.65-2.66
Pt 0.3753 0.8741 0.3753  6 Pt 2.65-2.66
Pt 0.3753 0.3753 0.8741  6 Pt 2.65-2.66
Er 0.0000 0.0000 0.0000  12 Pt 3.11, 4 In 3.25

Calculated values
Energy of formation from the pure elements (kJ/mol of atoms): -87.7
SG: No. 216
Size of the total moment (Bohr magnetons per cell): 0.0
Fermi-level density of states (states/eV/f.u.): 3.32



No. 6
# Rb2Pb2Cl

Rb2Pb2Cl at its PBEsol-relaxed geometry (SCAN, Alexandria).

a = 6.6878 Å, b = 6.6878 Å, c = 6.6878 Å
α = 99.21°, β = 114.83°, γ = 114.83°
Last column: nearest neighbours and their distance in Å.
Fractional positions:
Pb 0.0000 0.6587 0.6587  1 Pb 2.75, 1 Cl 2.96
Pb 0.0000 0.3413 0.3413  1 Pb 2.75, 1 Cl 2.96
Rb 0.5000 0.7500 0.2500  4 Pb 3.69
Rb 0.5000 0.2500 0.7500  4 Pb 3.69
Cl 0.0000 0.0000 0.0000  2 Pb 2.96

Calculated values
Energy relative to the elements, uncorrected (eV per atom): -0.4146
SG: No. 139
Size of the total moment (Bohr magnetons per cell): 0.0
Fermi-level density of states (states/eV/f.u.): 1.20



No. 7
# Li2MnFeB2O6

Li2MnFeB2O6 at its PBEsol-relaxed geometry (SCAN, Alexandria).

a = 5.2122 Å, b = 5.6951 Å, c = 8.9918 Å
α = 102.32°, β = 90.34°, γ = 116.82°
Last column: nearest neighbours and their distance in Å.
Fractional positions:
Li 0.3166 0.7972 0.7093  4 O 1.91-2.06
Li 0.6834 0.2028 0.2907  4 O 1.91-2.06
Li 0.8264 0.7935 0.2093  4 O 1.88-2.02
Li 0.1736 0.2065 0.7907  4 O 1.88-2.02
Mn 0.7031 0.2549 0.9509  4 O 2.02-2.15
Mn 0.2969 0.7451 0.0491  4 O 2.02-2.15
Fe 0.8162 0.7850 0.5397  3 O 1.96-2.00
Fe 0.1838 0.2150 0.4603  3 O 1.96-2.00
B 0.3078 0.7465 0.3789  3 O 1.37-1.40
B 0.6922 0.2535 0.6211  3 O 1.37-1.40
B 0.7951 0.7591 0.8717  3 O 1.38-1.40
B 0.2049 0.2409 0.1283  3 O 1.38-1.40
O 0.3970 0.6895 0.5061  1 B 1.39
O 0.6030 0.3105 0.4939  1 B 1.39
O 0.4734 0.7872 0.2597  1 B 1.37
O 0.5266 0.2128 0.7403  1 B 1.37
O 0.5523 0.8013 0.8774  1 B 1.39
O 0.4477 0.1987 0.1226  1 B 1.39
O 0.0555 0.7756 0.3735  1 B 1.40
O 0.9445 0.2244 0.6265  1 B 1.40
O 0.8833 0.6887 0.9953  1 B 1.40
O 0.1167 0.3113 0.0047  1 B 1.40
O 0.9546 0.7984 0.7494  1 B 1.38
O 0.0454 0.2016 0.2506  1 B 1.38

Calculated values
Energy relative to the elements, uncorrected (eV per atom): -2.2599
SG: No. 2
E above lowest polymorph (meV per atom): 15
Size of the total moment (Bohr magnetons per cell): 18.0



No. 8
# BaSr2

BaSr2 at its PBEsol-relaxed geometry (SCAN, Alexandria).

a = 6.8234 Å, b = 6.8234 Å, c = 7.9906 Å
α = 90.00°, β = 90.00°, γ = 120.00°
Last column: nearest neighbours and their distance in Å.
Fractional positions:
Sr 0.0000 0.0000 0.0000  8 Sr 4.00-4.42, 6 Ba 4.42
Sr 0.0000 0.0000 0.5000  8 Sr 4.00-4.42, 6 Ba 4.42
Sr 0.6667 0.3333 0.7500  5 Ba 3.94-4.00
Sr 0.3333 0.6667 0.2500  5 Ba 3.94-4.00
Ba 0.3333 0.6667 0.7500  5 Sr 3.94-4.00
Ba 0.6667 0.3333 0.2500  5 Sr 3.94-4.00

Calculated values
Energy of formation from the pure elements (kJ/mol of atoms): 5.4
SG: No. 194
E above lowest polymorph (meV per atom): 66
Size of the total moment (Bohr magnetons per cell): 0.4
Fermi-level density of states (states/eV/f.u.): 3.74



No. 9
# Zr3CuNi

Zr3CuNi at its PBEsol-relaxed geometry (SCAN, Alexandria).

a = 4.7471 Å, b = 4.7471 Å, c = 4.7471 Å
α = 90.00°, β = 90.00°, γ = 90.00°
Last column: nearest neighbours and their distance in Å.
Fractional positions:
Ni 0.0000 0.0000 0.0000  6 Zr 2.37
Cu 0.5000 0.5000 0.5000  12 Zr 3.36
Zr 0.0000 0.5000 0.0000  2 Ni 2.37
Zr 0.0000 0.0000 0.5000  2 Ni 2.37
Zr 0.5000 0.0000 0.0000  2 Ni 2.37

Calculated values
Energy of formation from the pure elements (kJ/mol of atoms): 39.2
SG: No. 221
Size of the total moment (Bohr magnetons per cell): 0.0
Fermi-level density of states (states/eV/f.u.): 8.46



No. 10
# RbTlOF2

RbTlOF2 at its PBEsol-relaxed geometry (SCAN, Alexandria).

a = 4.0556 Å, b = 4.6282 Å, c = 4.6282 Å
α = 90.00°, β = 90.00°, γ = 90.00°
Last column: nearest neighbours and their distance in Å.
Fractional positions:
Tl 0.0000 0.0000 0.0000  2 O 2.03
O 0.5000 0.0000 0.0000  2 Tl 2.03
Rb 0.5000 0.5000 0.5000  8 F 3.08, 4 O 3.27
F 0.0000 0.0000 0.5000  2 Tl 2.31
F 0.0000 0.5000 0.0000  2 Tl 2.31

Calculated values
Energy relative to the elements, uncorrected (eV per atom): -1.8721
SG: No. 123
Size of the total moment (Bohr magnetons per cell): 0.0
Fermi-level density of states (states/eV/f.u.): 1.65